[1]
Density functional theory data (GGA-PBE) for a relaxed structure of PaTiZnIr.

Computed properties:
**Size of the total moment**: 0.5108 μB/atom

abc: 6.597 6.597 6.597
angles: 90.00 90.00 90.00
Space group F-43m (No. 216)
Symmetry-distinct sites (fractional):
Pa  0.000  0.000  0.000
Ti  0.250  0.250  0.750
Zn  0.000  0.000  0.500
Ir  0.250  0.250  0.250

[2]
Density functional theory data (GGA-PBE) for a relaxed structure of TmPa2Ir.

Computed properties:
**Size of the total moment**: 0.1012 μB/atom

abc: 3.4884 3.4884 30.3483
angles: 90.00 90.00 120.00
Space group R-3m (No. 166, hexagonal axes)
Symmetry-distinct sites (fractional):
Tm  0.0000  0.0000  0.0000
Pa  0.0000  0.0000  0.1031
Ir  0.0000  0.0000  0.5000

[3]
Density functional theory data (GGA-PBE) for a relaxed structure of TmPaIr2.

Computed properties:
**Energy above the most stable polymorph in this dataset**: 114 meV per atom
**Size of the total moment**: 0.0000 μB/atom

abc: 3.431 3.431 6.936
angles: 90.00 90.00 90.00
Space group P4/mmm (No. 123)
Symmetry-distinct sites (fractional):
Tm  0.000  0.000  0.000
Pa  0.000  0.000  0.500
Ir  0.500  0.500  0.260

| no. | VASP energy (eV per cell) |
| --- | --- |
| 1 | -115.29 |
| 2 | -95.89 |
| 3 | -34.89 |